DFT (GGA-PBE) results for crystalline TmHfIn4Ni2 at its relaxed geometry.

Cell lengths 7.132, 4.317, 10.207 Å; angles 90.00, 90.00, 90.00 degrees
Space group Amm2 (No. 38)
Symmetry-distinct sites (fractional):
Tm  0.000  0.000  0.000 [2 per cell]
Hf  0.500  0.000  0.136 [2 per cell]
In  0.209  0.000  0.708 [4 per cell]
In  0.299  0.000  0.428 [4 per cell]
Ni  0.000  0.000  0.278 [2 per cell]
Ni  0.500  0.000  0.867 [2 per cell]

Properties
Raw total energy ... -0.1784 Ha/atom